# NbCoAgBi2

An optimized crystal structure of NbCoAgBi2 (PBE-GGA, the Alexandria database).

Unit cell a=5.4874 b=4.6115 c=5.4874 alpha=90.00 beta=90.00 gamma=90.00
With the nearest neighbours (Å) after each atom.
Atoms (fractional coordinates):
Nb (0.0000, 0.0000, 0.0000)  2 Co 2.31
Co (0.0000, 0.5000, 0.0000)  2 Nb 2.31
Bi (0.0000, 0.0000, 0.5000)  2 Nb 2.74
Bi (0.5000, 0.0000, 0.0000)  2 Nb 2.74
Ag (0.5000, 0.5000, 0.5000)  8 Bi 3.58, 4 Co 3.88

Computed properties:
Its space-group type is P4/mmm, No. 123. The value obtained for the energy of formation is 92 kJ per mole of atoms. Its calculated total energy is -4.608 eV per atom. As for the crystal system: tetragonal.